A relaxed structure of ZnCdP2. Source: Alexandria, functional PBE.

Output
As for the formation energy: 42.3 kJ per mole of atoms. The density of states at the Fermi level is 1.97 states/eV/cell. The calculation puts the total energy at -2.81 eV/atom.

Cell lengths 3.7568, 3.8204, 5.0538 Å; angles 90.00, 90.00, 90.00 degrees
Closest atoms and distances in Å follow each position.
Sites, in units of the cell vectors:
Zn (0.0000, 0.0000, 0.0000)  4 P 2.68
Cd (0.0000, 0.5000, 0.5000)  4 P 2.68
P (0.5000, 0.0000, 0.5000)  4 Cd 2.68
P (0.5000, 0.5000, 0.0000)  4 Zn 2.68



A relaxed structure of LiAc2In4Cu3. Source: Alexandria, functional PBE.

Output
As for the formation energy: -27.4 kJ per mole of atoms. The density of states at the Fermi level is 6.45 states/eV/cell. The calculation puts the total energy at -3.62 eV/atom.

Cell lengths 4.6551, 4.6551, 10.8516 Å; angles 90.00, 90.00, 90.00 degrees
Closest atoms and distances in Å follow each position.
Sites, in units of the cell vectors:
Li (0.0000, 0.0000, 0.0000)  4 In 2.69
Ac (0.0000, 0.5000, 0.7560)  2 Li 3.53, 6 Cu 3.53-3.55, 8 In 3.54-3.62
Ac (0.5000, 0.0000, 0.2440)  2 Li 3.53, 6 Cu 3.53-3.55, 8 In 3.54-3.62
In (0.0000, 0.0000, 0.5000)  4 Cu 2.74
In (0.0000, 0.5000, 0.1245)  3 Cu 2.62-2.69, 2 Li 2.69
In (0.5000, 0.0000, 0.8755)  3 Cu 2.62-2.69, 2 Li 2.69
In (0.5000, 0.5000, 0.5000)  4 Cu 2.74
Cu (0.0000, 0.5000, 0.3664)  5 In 2.62-2.74
Cu (0.5000, 0.0000, 0.6336)  5 In 2.62-2.74
Cu (0.5000, 0.5000, 0.0000)  4 In 2.69



A relaxed structure of Ac12ErRh7. Source: Alexandria, functional PBE.

Output
As for the formation energy: -53.6 kJ per mole of atoms. The density of states at the Fermi level is 16.35 states/eV/cell. The calculation puts the total energy at -5.82 eV/atom.

Cell lengths 9.4911, 9.4911, 9.4911 Å; angles 107.37, 107.37, 107.37 degrees
Closest atoms and distances in Å follow each position.
Sites, in units of the cell vectors:
Ac (0.0518, 0.3462, 0.1282)  3 Rh 2.93-3.00
Ac (0.1282, 0.0518, 0.3462)  3 Rh 2.93-3.00
Ac (0.1866, 0.7215, 0.5766)  3 Rh 2.94-2.96
Ac (0.2785, 0.4234, 0.8134)  3 Rh 2.94-2.96
Ac (0.3462, 0.1282, 0.0518)  3 Rh 2.93-3.00
Ac (0.4234, 0.8134, 0.2785)  3 Rh 2.94-2.96
Ac (0.5766, 0.1866, 0.7215)  3 Rh 2.94-2.96
Ac (0.6538, 0.8718, 0.9482)  3 Rh 2.93-3.00
Ac (0.7215, 0.5766, 0.1866)  3 Rh 2.94-2.96
Ac (0.8134, 0.2785, 0.4234)  3 Rh 2.94-2.96
Ac (0.8718, 0.9482, 0.6538)  3 Rh 2.93-3.00
Ac (0.9482, 0.6538, 0.8718)  3 Rh 2.93-3.00
Er (0.5000, 0.5000, 0.5000)  6 Rh 3.01
Rh (0.0000, 0.0000, 0.0000)  6 Ac 2.97
Rh (0.1581, 0.3861, 0.4747)  5 Ac 2.93-3.00, 1 Er 3.01
Rh (0.3861, 0.4747, 0.1581)  5 Ac 2.93-3.00, 1 Er 3.01
Rh (0.4747, 0.1581, 0.3861)  5 Ac 2.93-3.00, 1 Er 3.01
Rh (0.5253, 0.8419, 0.6139)  5 Ac 2.93-3.00, 1 Er 3.01
Rh (0.6139, 0.5253, 0.8419)  5 Ac 2.93-3.00, 1 Er 3.01
Rh (0.8419, 0.6139, 0.5253)  5 Ac 2.93-3.00, 1 Er 3.01



A relaxed structure of HfVSbTe2. Source: Alexandria, functional PBE.

Output
The density of states at the Fermi level is 7.29 states/eV/cell. As for the formation energy from raw total energies: 53.7 kJ per mole of atoms. The calculation puts the total energy at -5.34 eV/atom.

Cell lengths 5.1849, 5.1849, 5.1172 Å; angles 90.00, 90.00, 90.00 degrees
Closest atoms and distances in Å follow each position.
Sites, in units of the cell vectors:
Hf (0.0000, 0.0000, 0.0000)  8 Te 3.64, 4 Sb 3.67
V (0.5000, 0.5000, 0.5000)  2 Sb 2.56, 4 Te 2.59
Sb (0.5000, 0.5000, 0.0000)  2 V 2.56
Te (0.0000, 0.5000, 0.5000)  2 V 2.59
Te (0.5000, 0.0000, 0.5000)  2 V 2.59



A relaxed structure of Ca2TmSe3. Source: Alexandria, functional PBE.

Output
The density of states at the Fermi level is 1.91 states/eV/cell. As for the formation energy from raw total energies: -182.4 kJ per mole of atoms. The calculation puts the total energy at -5.04 eV/atom.

Cell lengths 7.1663, 7.1663, 7.1663 Å; angles 146.59, 131.89, 59.84 degrees
Closest atoms and distances in Å follow each position.
Sites, in units of the cell vectors:
Ca (0.1686, 0.1686, 0.0000)  6 Se 2.92-2.96
Ca (0.8314, 0.8314, 0.0000)  6 Se 2.92-2.96
Tm (0.5000, 0.5000, 0.0000)  6 Se 2.87-2.92
Se (0.0000, 0.5000, 0.5000)  2 Tm 2.92, 4 Ca 2.94
Se (0.3397, 0.8397, 0.5000)  2 Tm 2.87, 4 Ca 2.92-2.96
Se (0.6603, 0.1603, 0.5000)  2 Tm 2.87, 4 Ca 2.92-2.96



A relaxed structure of CuBi3S6. Source: Alexandria, functional PBE.

Output
The density of states at the Fermi level is 20.11 states/eV/cell. As for the formation energy from raw total energies: -14.7 kJ per mole of atoms. The calculation puts the total energy at -4.20 eV/atom.

Cell lengths 8.6599, 8.6599, 6.6215 Å; angles 90.00, 90.00, 101.40 degrees
Closest atoms and distances in Å follow each position.
Sites, in units of the cell vectors:
Cu (0.1931, 0.8069, 0.5000)  4 S 2.22-2.28
Cu (0.8069, 0.1931, 0.0000)  4 S 2.22-2.28
Bi (0.0782, 0.2898, 0.4732)  6 S 2.76-2.97
Bi (0.2898, 0.0782, 0.9732)  6 S 2.76-2.97
Bi (0.3909, 0.6091, 0.8923)  7 S 2.83-2.93
Bi (0.6091, 0.3909, 0.3923)  7 S 2.83-2.93
Bi (0.7102, 0.9218, 0.4732)  6 S 2.76-2.97
Bi (0.9218, 0.7102, 0.9732)  6 S 2.76-2.97
S (0.0463, 0.9537, 0.6680)  1 Cu 2.26
S (0.0969, 0.5795, 0.6706)  1 Cu 2.28
S (0.2200, 0.7800, 0.1690)  1 Cu 2.22
S (0.3109, 0.3700, 0.1862)  4 Bi 2.76-2.90
S (0.3700, 0.3109, 0.6862)  4 Bi 2.76-2.90
S (0.4205, 0.9031, 0.6706)  1 Cu 2.28
S (0.5795, 0.0969, 0.1706)  1 Cu 2.28
S (0.6300, 0.6891, 0.1862)  4 Bi 2.76-2.90
S (0.6891, 0.6300, 0.6862)  4 Bi 2.76-2.90
S (0.7800, 0.2200, 0.6690)  1 Cu 2.22
S (0.9031, 0.4205, 0.1706)  1 Cu 2.28
S (0.9537, 0.0463, 0.1680)  1 Cu 2.26



A relaxed structure of KAc2S4. Source: Alexandria, functional PBE.

Output
The density of states at the Fermi level is 7.35 states/eV/cell. As for the formation energy from raw total energies: -168.3 kJ per mole of atoms. The calculation puts the total energy at -5.43 eV/atom.

Cell lengths 7.9005, 7.9005, 7.9005 Å; angles 110.65, 110.65, 107.13 degrees
Closest atoms and distances in Å follow each position.
Sites, in units of the cell vectors:
K (0.0000, 0.0000, 0.0000)  8 S 3.19-3.39
K (0.7500, 0.2500, 0.5000)  8 S 3.19-3.39
Ac (0.2433, 0.1250, 0.6183)  8 S 3.04-3.19
Ac (0.3750, 0.7567, 0.8817)  8 S 3.04-3.19
Ac (0.5067, 0.6250, 0.3817)  8 S 3.04-3.19
Ac (0.8750, 0.4933, 0.1183)  8 S 3.04-3.19
S (0.1521, 0.4018, 0.4244)  4 Ac 3.04-3.19, 2 S 3.13-3.32, 2 K 3.19-3.39
S (0.1518, 0.4021, 0.9244)  4 Ac 3.04-3.19, 2 S 3.13-3.32, 2 K 3.19-3.39
S (0.2723, 0.8479, 0.2497)  4 Ac 3.04-3.19, 2 S 3.13-3.32, 2 K 3.19-3.39
S (0.4777, 0.2273, 0.0756)  4 Ac 3.04-3.19, 2 S 3.13-3.32, 2 K 3.19-3.39
S (0.5982, 0.0227, 0.7503)  4 Ac 3.04-3.19, 2 S 3.13-3.32, 2 K 3.19-3.39
S (0.5979, 0.5223, 0.7497)  4 Ac 3.04-3.19, 2 S 3.13-3.32, 2 K 3.19-3.39
S (0.7727, 0.8482, 0.2503)  4 Ac 3.04-3.19, 2 S 3.13-3.32, 2 K 3.19-3.39
S (0.9773, 0.7277, 0.5756)  4 Ac 3.04-3.19, 2 S 3.13-3.32, 2 K 3.19-3.39



A relaxed structure of Th2BiPt. Source: Alexandria, functional PBE.

Output
As for the formation energy: -70.7 kJ per mole of atoms. The density of states at the Fermi level is 3.57 states/eV/cell. The calculation puts the total energy at -6.92 eV/atom.

Cell lengths 3.5309, 3.5309, 8.6562 Å; angles 90.00, 90.00, 90.00 degrees
Closest atoms and distances in Å follow each position.
Sites, in units of the cell vectors:
Th (0.0000, 0.0000, 0.2174)  4 Pt 3.13, 4 Bi 3.50
Th (0.0000, 0.0000, 0.7826)  4 Pt 3.13, 4 Bi 3.50
Bi (0.5000, 0.5000, 0.5000)  8 Th 3.50, 4 Bi 3.53
Pt (0.5000, 0.5000, 0.0000)  8 Th 3.13



A relaxed structure of V2FePd. Source: Alexandria, functional PBE.

Output
As for the formation energy: -4.5 kJ per mole of atoms. The density of states at the Fermi level is 5.69 states/eV/cell. The calculation puts the total energy at -8.02 eV/atom.

Cell lengths 3.7487, 3.7487, 3.7344 Å; angles 90.00, 90.00, 90.00 degrees
Closest atoms and distances in Å follow each position.
Sites, in units of the cell vectors:
V (0.0000, 0.5000, 0.0000)  4 Fe 2.65, 4 Pd 2.65, 4 V 2.65
V (0.5000, 0.0000, 0.0000)  4 Fe 2.65, 4 Pd 2.65, 4 V 2.65
Fe (0.0000, 0.0000, 0.5000)  8 V 2.65, 4 Pd 2.65
Pd (0.5000, 0.5000, 0.5000)  8 V 2.65, 4 Fe 2.65



A relaxed structure of Zr2TlNi. Source: Alexandria, functional PBE.

Output
As for the formation energy: -6.3 kJ per mole of atoms. The density of states at the Fermi level is 5.29 states/eV/cell. The calculation puts the total energy at -6.38 eV/atom.

Cell lengths 4.2932, 4.2932, 4.2570 Å; angles 90.00, 90.00, 90.00 degrees
Closest atoms and distances in Å follow each position.
Sites, in units of the cell vectors:
Zr (0.0000, 0.5000, 0.0000)  4 Tl 3.02, 4 Ni 3.02, 4 Zr 3.04
Zr (0.5000, 0.0000, 0.0000)  4 Tl 3.02, 4 Ni 3.02, 4 Zr 3.04
Tl (0.0000, 0.0000, 0.5000)  8 Zr 3.02, 4 Ni 3.04
Ni (0.5000, 0.5000, 0.5000)  8 Zr 3.02, 4 Tl 3.04



A relaxed structure of TmLuPuZr. Source: Alexandria, functional PBE.

Output
As for the formation energy: 21.2 kJ per mole of atoms. The density of states at the Fermi level is 11.49 states/eV/cell. The calculation puts the total energy at -7.75 eV/atom.

Cell lengths 5.3456, 5.3456, 5.3456 Å; angles 60.00, 60.00, 60.00 degrees
Closest atoms and distances in Å follow each position.
Sites, in units of the cell vectors:
Tm (0.0000, 0.0000, 0.0000)  4 Zr 3.27, 4 Lu 3.27
Lu (0.2500, 0.2500, 0.2500)  4 Pu 3.27, 4 Tm 3.27
Pu (0.5000, 0.5000, 0.5000)  4 Zr 3.27, 4 Lu 3.27
Zr (0.7500, 0.7500, 0.7500)  4 Tm 3.27, 4 Pu 3.27



A relaxed structure of Ac2PmAu3. Source: Alexandria, functional PBE.

Output
As for the formation energy: -74.2 kJ per mole of atoms. The density of states at the Fermi level is 3.47 states/eV/cell. The calculation puts the total energy at -4.57 eV/atom.

Cell lengths 3.8326, 3.8326, 11.5364 Å; angles 90.00, 90.00, 90.00 degrees
Closest atoms and distances in Å follow each position.
Sites, in units of the cell vectors:
Ac (0.0000, 0.0000, 0.1722)  8 Au 3.36-3.42
Ac (0.0000, 0.0000, 0.8278)  8 Au 3.36-3.42
Pm (0.0000, 0.0000, 0.5000)  8 Au 3.20
Au (0.5000, 0.5000, 0.0000)  8 Ac 3.36
Au (0.5000, 0.5000, 0.3533)  4 Pm 3.20, 1 Au 3.38, 4 Ac 3.42
Au (0.5000, 0.5000, 0.6467)  4 Pm 3.20, 1 Au 3.38, 4 Ac 3.42